DFT (PBE with a Hubbard U) results for a geometry-optimized SrMgCoF2 structure.

Lattice parameters (Å, degrees): 4.159 4.159 5.665 90.00 90.00 90.00
Fractional positions:
Sr 0.000 0.000 0.000
Mg 0.500 0.500 0.500
Co 0.500 0.500 0.000
F 0.000 0.500 0.500
F 0.500 0.000 0.500

Summary:
volume: 19.6 A^3/atom
symmetry: P4/mmm
D(E_F): 2.49 states/eV/cell
E: -19.46 eV per cell